[1]
Below is a relaxed structure of HfAsIr3, with properties calculated at the GGA-PBE level.

Cell lengths 4.830, 4.830, 4.830 Å; angles 90.00, 90.00, 90.00 degrees
Atoms (fractional coordinates):
As1 0.500 0.500 0.500
Ir1 0.000 0.500 0.000
Ir2 0.000 0.000 0.500
Ir3 0.500 0.000 0.000
Hf1 0.000 0.000 0.000

Properties
The calculation puts the uncorrected energy at -0.4903 Ry/atom. The space-group type is Pm-3m, No. 221. Its magnetic moment is 0.0 μB per formula unit.

[2]
Below is a relaxed structure of YCu2Ir, with properties calculated at the GGA-PBE level.

Cell lengths 3.091, 3.812, 5.561 Å; angles 90.00, 90.00, 90.00 degrees
Atoms (fractional coordinates):
Cu1 0.000 0.000 0.034
Cu2 0.000 0.000 0.466
Ir1 0.500 0.500 0.250
Y1 0.500 0.500 0.750

Properties
The calculation puts the uncorrected energy at -0.4397 Ry/atom. The space-group type is Pmmm, No. 47. Its magnetic moment is 0.0 μB per formula unit.

[3]
Below is a relaxed structure of KPmSn2Br8, with properties calculated at the GGA-PBE level.

Cell lengths 7.254, 6.889, 9.135 Å; angles 89.98, 90.01, 88.88 degrees
Atoms (fractional coordinates):
K1 0.000 0.000 0.500
Pm1 0.000 0.000 0.000
Sn1 0.500 0.500 0.746
Sn2 0.500 0.500 0.254
Br1 0.158 0.754 0.225
Br2 0.675 0.757 0.000
Br3 0.841 0.245 0.225
Br4 0.842 0.246 0.775
Br5 0.325 0.243 0.000
Br6 0.159 0.755 0.775
Br7 0.635 0.725 0.500
Br8 0.365 0.275 0.500

Properties
The calculation puts the uncorrected energy at -0.2611 Ry/atom. The formation energy (no corrections) comes out at -15.392 eV/f.u. The space-group type is P2/m, No. 10. Its magnetic moment is 0.0 μB per formula unit.